Entry 1:
Entry from Alexandria: a crystal of CrRhCl2O relaxed with PBEsol (SCAN).

Calculated values
Mass density in g cm⁻³: 4.40
DFT total energy in eV/cell: -72.10
Total magnetization in μB/cell: 5.0
ΔE_f (raw) in eV/atom: 0.4479
Fermi-level density of states in states/eV/f.u.: 1.93

Cell: 4.4362 4.4362 4.6348 Å, 90.00 90.00 90.00°
Last column: nearest neighbours and their distance in Å.
Space group P4/mmm (No. 123)
Symmetry-distinct sites (fractional):
Cr1 0.0000 0.0000 0.0000 [1 per cell]  4 Cl 2.22, 2 Rh 2.32
Rh1 0.0000 0.0000 0.5000 [1 per cell]  2 Cr 2.32
Cl1 0.0000 0.5000 0.0000 [2 per cell]  2 Cr 2.22
O1 0.5000 0.5000 0.5000 [1 per cell]  4 Rh 3.14, 8 Cl 3.21

---

Entry 2:
Entry from Alexandria: a crystal of MoP2RhS relaxed with PBEsol (SCAN).

Calculated values
Mass density in g cm⁻³: 5.37
DFT total energy in eV/cell: -94.65
Total magnetization in μB/cell: 2.2
ΔE_f (raw) in eV/atom: 0.8871
Fermi-level density of states in states/eV/f.u.: 3.36

Cell: 4.4084 4.4084 4.6572 Å, 90.00 90.00 90.00°
Last column: nearest neighbours and their distance in Å.
Space group P4/mmm (No. 123)
Symmetry-distinct sites (fractional):
Mo1 0.0000 0.0000 0.0000 [1 per cell]  4 S 3.12, 8 P 3.21
P1 0.0000 0.5000 0.5000 [2 per cell]  2 Rh 2.20
Rh1 0.5000 0.5000 0.5000 [1 per cell]  4 P 2.20, 2 S 2.33
S1 0.5000 0.5000 0.0000 [1 per cell]  2 Rh 2.33

---

Entry 3:
Entry from Alexandria: a crystal of Be2ZnRu relaxed with PBEsol (SCAN).

Calculated values
Mass density in g cm⁻³: 6.66
DFT total energy in eV/cell: -113.91
Total magnetization in μB/cell: 0.0
Fermi-level density of states in states/eV/f.u.: 1.70

Cell: 2.8318 4.3040 7.5506 Å, 90.00 90.00 90.00°
Last column: nearest neighbours and their distance in Å.
Space group Cmmm (No. 65)
Symmetry-distinct sites (fractional):
Be1 0.0000 0.0000 0.2342 [4 per cell]  2 Ru 2.27, 2 Zn 2.46
Zn1 0.0000 0.5000 0.5000 [2 per cell]  4 Be 2.46, 4 Zn 2.58
Ru1 0.0000 0.5000 0.0000 [2 per cell]  4 Be 2.27

---

Entry 4:
Entry from Alexandria: a crystal of YIn2PSe relaxed with PBEsol (SCAN).

Calculated values
Mass density in g cm⁻³: 5.30
DFT total energy in eV/cell: -123.47
Total magnetization in μB/cell: 0.0
ΔE_f (raw) in eV/atom: 0.3250
Fermi-level density of states in states/eV/f.u.: 3.01

Cell: 5.2651 5.2651 4.8403 Å, 90.00 90.00 90.00°
Last column: nearest neighbours and their distance in Å.
Space group P4/mmm (No. 123)
Symmetry-distinct sites (fractional):
Y1 0.0000 0.0000 0.0000 [1 per cell]  8 In 3.58, 4 P 3.72
In1 0.0000 0.5000 0.5000 [2 per cell]  2 Se 2.63
P1 0.5000 0.5000 0.0000 [1 per cell]  2 Se 2.42
Se1 0.5000 0.5000 0.5000 [1 per cell]  2 P 2.42, 4 In 2.63

---

Entry 5:
Entry from Alexandria: a crystal of CaCd2Pb relaxed with PBEsol (SCAN).

Calculated values
Mass density in g cm⁻³: 7.71
DFT total energy in eV/cell: -294.70
Total magnetization in μB/cell: 0.0
Fermi-level density of states in states/eV/f.u.: 1.48

Cell: 11.0207 3.4823 5.4218 Å, 90.00 102.11 90.00°
Last column: nearest neighbours and their distance in Å.
Space group C2/m (No. 12)
Symmetry-distinct sites (fractional):
Ca1 0.0000 0.0000 0.0000 [2 per cell]  4 Pb 3.22, 6 Cd 3.30-3.32, 2 Ca 3.48
Cd1 0.2500 0.0000 0.7500 [4 per cell]  6 Cd 3.22-3.48, 3 Pb 3.30-3.32, 3 Ca 3.30-3.32
Pb1 0.0000 0.5000 0.5000 [2 per cell]  4 Ca 3.22, 6 Cd 3.30-3.32, 2 Pb 3.48

---

Entry 6:
Entry from Alexandria: a crystal of InTeRu2 relaxed with PBEsol (SCAN).

Calculated values
Mass density in g cm⁻³: 11.13
DFT total energy in eV/cell: -278.69
Total magnetization in μB/cell: 0.0
ΔE_f (raw) in eV/atom: 0.2359
Fermi-level density of states in states/eV/f.u.: 2.76
Offset from the most stable computed form in meV/atom: 0.0

Cell: 4.4416 4.4416 6.7246 Å, 90.00 90.00 90.00°
Last column: nearest neighbours and their distance in Å.
Space group I4/mmm (No. 139)
Symmetry-distinct sites (fractional):
In1 0.0000 0.0000 0.0000 [2 per cell]  8 Ru 2.79
Te1 0.0000 0.0000 0.5000 [2 per cell]  8 Ru 2.79
Ru1 0.0000 0.5000 0.2500 [4 per cell]  4 In 2.79, 4 Te 2.79

---

Entry 7:
Entry from Alexandria: a crystal of HgPb2Cl relaxed with PBEsol (SCAN).

Calculated values
Mass density in g cm⁻³: 10.08
DFT total energy in eV/cell: -457.16
Total magnetization in μB/cell: 0.0
ΔE_f (raw) in eV/atom: -0.2190
Fermi-level density of states in states/eV/f.u.: 2.16
Offset from the most stable computed form in meV/atom: 138.3

Cell: 4.3441 4.3441 11.3581 Å, 90.00 90.00 90.00°
Last column: nearest neighbours and their distance in Å.
Space group I-4m2 (No. 119)
Symmetry-distinct sites (fractional):
Hg1 0.0000 0.0000 0.0000 [2 per cell]  4 Pb 3.07
Pb1 0.0000 0.0000 0.5000 [2 per cell]  4 Hg 3.07
Pb2 0.0000 0.5000 0.2500 [2 per cell]  4 Cl 3.07
Cl1 0.0000 0.5000 0.7500 [2 per cell]  4 Pb 3.07

---

Entry 8:
Entry from Alexandria: a crystal of TcPPtO2 relaxed with PBEsol (SCAN).

Calculated values
Mass density in g cm⁻³: 8.47
DFT total energy in eV/cell: -131.06
Total magnetization in μB/cell: 0.0
ΔE_f (raw) in eV/atom: -0.5898
Fermi-level density of states in states/eV/f.u.: 1.79
Offset from the most stable computed form in meV/atom: 0.0

Cell: 3.6066 3.6066 5.3672 Å, 90.00 90.00 90.00°
Last column: nearest neighbours and their distance in Å.
Space group P4/mmm (No. 123)
Symmetry-distinct sites (fractional):
Tc1 0.0000 0.0000 0.0000 [1 per cell]  4 O 1.80
P1 0.0000 0.0000 0.5000 [1 per cell]  4 Pt 2.55, 2 Tc 2.68
Pt1 0.5000 0.5000 0.5000 [1 per cell]  4 P 2.55
O1 0.0000 0.5000 0.0000 [2 per cell]  2 Tc 1.80

---

Entry 9:
Entry from Alexandria: a crystal of Sb2SIN relaxed with PBEsol (SCAN).

Calculated values
Mass density in g cm⁻³: 6.45
DFT total energy in eV/cell: -125.07
Total magnetization in μB/cell: 0.0
ΔE_f (raw) in eV/atom: 1.0218
Fermi-level density of states in states/eV/f.u.: 3.58

Cell: 4.8395 4.8395 4.5782 Å, 90.00 90.00 90.00°
Last column: nearest neighbours and their distance in Å.
Space group P4/mmm (No. 123)
Symmetry-distinct sites (fractional):
Sb1 0.0000 0.5000 0.0000 [2 per cell]  2 N 2.42
S1 0.0000 0.0000 0.5000 [1 per cell]  8 Sb 3.33, 4 I 3.42
I1 0.5000 0.5000 0.5000 [1 per cell]  2 N 2.29
N1 0.5000 0.5000 0.0000 [1 per cell]  2 I 2.29, 4 Sb 2.42

---

Entry 10:
Entry from Alexandria: a crystal of Ho3CrB7 relaxed with PBEsol (SCAN).

Calculated values
Mass density in g cm⁻³: 8.45
DFT total energy in eV/cell: -899.98
Total magnetization in μB/cell: 3.4
Fermi-level density of states in states/eV/f.u.: 2.51

Cell: 3.3866 15.6188 9.2473 Å, 90.00 90.00 90.00°
Last column: nearest neighbours and their distance in Å.
Space group Cmcm (No. 63)
Symmetry-distinct sites (fractional):
Ho1 0.0000 0.1050 0.0597 [8 per cell]  11 B 2.58-2.69
Ho2 0.0000 0.2414 0.7500 [4 per cell]  10 B 2.58-2.65
Cr1 0.0000 0.0529 0.7500 [4 per cell]  10 B 2.25-2.28
B1 0.0000 0.2728 0.0316 [8 per cell]  3 B 1.86-1.93
B2 0.0000 0.3689 0.1513 [8 per cell]  3 B 1.79-1.86
B3 0.0000 0.4583 0.7500 [4 per cell]  2 B 1.73
B4 0.0000 0.4790 0.0958 [8 per cell]  3 B 1.73-1.89

---

Entry 11:
Entry from Alexandria: a crystal of Cr3Se2 relaxed with PBEsol (SCAN).

Calculated values
Mass density in g cm⁻³: 7.07
DFT total energy in eV/cell: -94.90
Total magnetization in μB/cell: 6.4
ΔE_f (raw) in eV/atom: 0.0818
Fermi-level density of states in states/eV/f.u.: 3.71
Offset from the most stable computed form in meV/atom: 0.0

Cell: 3.8872 3.8872 5.6311 Å, 90.00 90.00 120.00°
Last column: nearest neighbours and their distance in Å.
Space group P-3m1 (No. 164)
Symmetry-distinct sites (fractional):
Cr1 0.0000 0.0000 0.0000 [1 per cell]  6 Se 2.60
Cr2 0.3333 0.6667 0.3440 [2 per cell]  4 Se 2.33-2.37
Se1 0.3333 0.6667 0.7653 [2 per cell]  7 Cr 2.33-2.60

---

Entry 12:
Entry from Alexandria: a crystal of NdAsRuO relaxed with PBEsol (SCAN).

Calculated values
Mass density in g cm⁻³: 8.21
DFT total energy in eV/cell: -226.23
Total magnetization in μB/cell: 0.0
ΔE_f (raw) in eV/atom: -2.0709
Fermi-level density of states in states/eV/f.u.: 0.89

Cell: 4.0603 4.0603 8.2516 Å, 90.00 90.00 90.00°
Last column: nearest neighbours and their distance in Å.
Space group P4/nmm (No. 129, origin choice 2)
Symmetry-distinct sites (fractional):
Nd1 0.2500 0.2500 0.1388 [2 per cell]  4 O 2.33
As1 0.2500 0.2500 0.6593 [2 per cell]  4 Ru 2.42
Ru1 0.2500 0.7500 0.5000 [2 per cell]  4 As 2.42
O1 0.2500 0.7500 0.0000 [2 per cell]  4 Nd 2.33

---

Entry 13:
Entry from Alexandria: a crystal of Mg2In relaxed with PBEsol (SCAN).

Calculated values
Mass density in g cm⁻³: 3.88
DFT total energy in eV/cell: -346.35
Total magnetization in μB/cell: 0.0
Fermi-level density of states in states/eV/f.u.: 1.07

Cell: 8.2432 8.2432 8.2432 Å, 90.00 90.00 90.00°
Last column: nearest neighbours and their distance in Å.
Space group Fd-3m (No. 227, origin choice 2)
Symmetry-distinct sites (fractional):
Mg1 0.0000 0.0000 0.0000 [16 per cell]  6 Mg 2.91
In1 0.1250 0.1250 0.6250 [8 per cell]  12 Mg 3.42, 4 In 3.57